Record 1
A plane-wave DFT calculation with GGA-PBE was carried out for Na2AgPbI4 after structural relaxation.

Results
D(E_F): 0.43 states/eV per atom
crystal system: tetragonal
energy relative to the elements, uncorrected: -0.635 eV/atom
SG: No. 119
calculated volume: 35.7 A^3/atom
calculated total energy: -2.5599 eV/atom

Cell: 8.0219 8.0219 8.0219 Å, 131.29 131.29 71.35°
Last column: nearest neighbours and their distance in Å.
Fractional positions:
Na: 0.0000 0.0000 0.0000  6 I 3.23-3.31
Na: 0.7500 0.2500 0.5000  6 I 3.25-3.31
Ag: 0.2500 0.7500 0.5000  6 I 3.27-3.31
Pb: 0.5000 0.5000 0.0000  6 I 3.28-3.31
I: 0.2481 0.2481 0.0000  3 Na 3.23-3.31, 1 Pb 3.28, 2 Ag 3.31
I: 0.5006 0.0006 0.5000  3 Na 3.25-3.31, 1 Ag 3.27, 2 Pb 3.31
I: 0.7519 0.7519 0.0000  3 Na 3.23-3.31, 1 Pb 3.28, 2 Ag 3.31
I: 0.9994 0.4994 0.5000  3 Na 3.25-3.31, 1 Ag 3.27, 2 Pb 3.31

Record 2
A plane-wave DFT calculation with GGA-PBE was carried out for NaAgPbI4 after structural relaxation.

Results
D(E_F): 0.00 states/eV per atom
crystal system: orthorhombic
energy relative to the elements, uncorrected: -0.697 eV/atom
SG: No. 74
calculated volume: 40.1 A^3/atom
calculated total energy: -2.7082 eV/atom

Cell: 9.2578 9.2578 9.2578 Å, 120.46 119.52 90.01°
Last column: nearest neighbours and their distance in Å.
Fractional positions:
Na: 0.5000 0.0000 0.0000  6 I 3.20-3.28
Na: 0.5000 0.5000 0.5000  6 I 3.20-3.28
Ag: 0.1082 0.3582 0.7500  4 I 2.83-2.94
Ag: 0.8918 0.6418 0.2500  4 I 2.83-2.94
Pb: 0.0000 0.0000 0.0000  6 I 3.24-3.28
Pb: 0.5000 0.0000 0.5000  6 I 3.24-3.28
I: 0.2497 0.2511 0.5014  1 Ag 2.94, 1 Na 3.28, 2 Pb 3.28
I: 0.2497 0.7484 0.9986  1 Ag 2.94, 1 Na 3.28, 2 Pb 3.28
I: 0.2587 0.2475 0.0111  1 Ag 2.83
I: 0.2636 0.7525 0.5111  1 Ag 2.83
I: 0.7364 0.2475 0.4889  1 Ag 2.83
I: 0.7413 0.7525 0.9889  1 Ag 2.83
I: 0.7503 0.2516 0.0014  1 Ag 2.94, 1 Na 3.28, 2 Pb 3.28
I: 0.7503 0.7489 0.4986  1 Ag 2.94, 1 Na 3.28, 2 Pb 3.28

Record 3
A plane-wave DFT calculation with GGA-PBE was carried out for NaAg2PbI6 after structural relaxation.

Results
D(E_F): 0.32 states/eV per atom
crystal system: monoclinic
energy relative to the elements, uncorrected: -0.469 eV/atom
SG: No. 15
calculated volume: 43.5 A^3/atom
calculated total energy: -2.4718 eV/atom

Cell: 10.6092 10.6092 8.4950 Å, 107.48 107.48 83.34°
Last column: nearest neighbours and their distance in Å.
Fractional positions:
Na: 0.2267 0.7733 0.7500  6 I 3.33-3.46
Na: 0.7733 0.2267 0.2500  6 I 3.33-3.46
Ag: 0.1088 0.2840 0.7685  4 I 2.75-2.88
Ag: 0.2840 0.1088 0.2685  4 I 2.75-2.88
Ag: 0.7160 0.8912 0.7315  4 I 2.75-2.88
Ag: 0.8912 0.7160 0.2315  4 I 2.75-2.88
Pb: 0.4082 0.5918 0.2500  6 I 3.12-3.47
Pb: 0.5918 0.4082 0.7500  6 I 3.12-3.47
I: 0.0897 0.1181 0.4248  2 Ag 2.75-2.88
I: 0.1181 0.0897 0.9248  2 Ag 2.75-2.88
I: 0.1443 0.5883 0.3384  1 Ag 2.88, 1 Pb 3.12
I: 0.2859 0.4802 0.8314  1 Ag 2.79
I: 0.4117 0.8557 0.1616  1 Ag 2.88, 1 Pb 3.12
I: 0.4802 0.2859 0.3314  1 Ag 2.79
I: 0.5198 0.7141 0.6686  1 Ag 2.79
I: 0.5883 0.1443 0.8384  1 Ag 2.88, 1 Pb 3.12
I: 0.7141 0.5198 0.1686  1 Ag 2.79
I: 0.8557 0.4117 0.6616  1 Ag 2.88, 1 Pb 3.12
I: 0.8819 0.9103 0.0752  2 Ag 2.75-2.88
I: 0.9103 0.8819 0.5752  2 Ag 2.75-2.88